Entry from Alexandria via LeMat-Bulk: a geometry-optimized Cs3Cd2Cl4F3 structure (PBE-GGA).

Calculated values
uncorrected energy = -40.77 eV for the cell shown
formation energy (no corrections) = -1.948 eV per atom
crystal system = orthorhombic

Cell lengths 13.913, 13.913, 13.913 Å; angles 160.80, 29.49, 157.83 degrees
Positions (direct):
Cs: 0.000 0.000 0.000
Cs: 0.118 0.935 0.183
Cs: 0.752 0.935 0.817
Cd: 0.350 0.936 0.415
Cd: 0.521 0.936 0.585
Cl: 0.020 0.429 0.590
Cl: 0.250 0.933 0.316
Cl: 0.617 0.933 0.684
Cl: 0.839 0.429 0.410
F: 0.340 0.422 0.917
F: 0.413 0.913 0.500
F: 0.505 0.422 0.083

Entry from Alexandria via LeMat-Bulk: a geometry-optimized CsCdCl2F structure (PBE-GGA).

Calculated values
uncorrected energy = -14.00 eV for the cell shown
formation energy (no corrections) = -1.334 eV per atom
crystal system = tetragonal

Cell lengths 6.027, 6.027, 4.036 Å; angles 90.00, 90.00, 90.00 degrees
Positions (direct):
Cs: 0.000 0.000 0.000
Cd: 0.500 0.500 0.000
Cl: 0.000 0.500 0.500
Cl: 0.500 0.000 0.500
F: 0.500 0.500 0.500

Entry from Alexandria via LeMat-Bulk: a geometry-optimized CsCdCl2F structure (PBE-GGA).

Calculated values
uncorrected energy = -16.24 eV for the cell shown
formation energy (no corrections) = -1.781 eV per atom
crystal system = tetragonal

Cell lengths 5.394, 5.394, 4.524 Å; angles 90.00, 90.00, 90.00 degrees
Positions (direct):
Cs: 0.000 0.000 0.000
Cd: 0.500 0.500 0.500
Cl: 0.000 0.500 0.500
Cl: 0.500 0.000 0.500
F: 0.500 0.500 0.000

Entry from Alexandria via LeMat-Bulk: a geometry-optimized Cs2CdCl6F structure (PBE-GGA).

Calculated values
uncorrected energy = -25.54 eV for the cell shown
formation energy (no corrections) = -0.997 eV per atom
crystal system = tetragonal

Cell lengths 7.681, 7.681, 7.681 Å; angles 124.44, 124.44, 82.46 degrees
Positions (direct):
Cs: 0.250 0.750 0.500
Cs: 0.750 0.250 0.500
Cd: 0.000 0.000 0.000
Cl: 0.216 0.216 0.000
Cl: 0.259 0.259 0.518
Cl: 0.259 0.741 0.000
Cl: 0.741 0.259 0.000
Cl: 0.741 0.741 0.482
Cl: 0.784 0.784 0.000
F: 0.500 0.500 0.000

Entry from Alexandria via LeMat-Bulk: a geometry-optimized Cs3Cd2Cl5F2 structure (PBE-GGA).

Calculated values
uncorrected energy = -38.96 eV for the cell shown
formation energy (no corrections) = -1.799 eV per atom
crystal system = tetragonal

Cell lengths 13.138, 13.138, 13.138 Å; angles 156.43, 156.43, 33.58 degrees
Positions (direct):
Cs: 0.000 0.000 0.000
Cs: 0.194 0.194 0.000
Cs: 0.806 0.806 0.000
Cd: 0.394 0.394 0.000
Cd: 0.606 0.606 0.000
Cl: 0.104 0.604 0.500
Cl: 0.396 0.896 0.500
Cl: 0.500 0.500 0.000
Cl: 0.604 0.104 0.500
Cl: 0.896 0.396 0.500
F: 0.307 0.307 0.000
F: 0.693 0.693 0.000

Entry from Alexandria via LeMat-Bulk: a geometry-optimized CsCdFe2Cl8 structure (PBE-GGA).

Calculated values
uncorrected energy = -46.33 eV for the cell shown
formation energy (no corrections) = -1.072 eV per atom
crystal system = trigonal

Cell lengths 10.463, 10.463, 10.463 Å; angles 36.37, 36.37, 36.37 degrees
Positions (direct):
Cs: 0.000 0.000 0.000
Cd: 0.500 0.500 0.500
Fe: 0.243 0.243 0.243
Fe: 0.757 0.757 0.757
Cl: 0.112 0.777 0.450
Cl: 0.223 0.550 0.888
Cl: 0.319 0.319 0.319
Cl: 0.450 0.112 0.777
Cl: 0.550 0.888 0.223
Cl: 0.681 0.681 0.681
Cl: 0.777 0.450 0.112
Cl: 0.888 0.223 0.550

Entry from Alexandria via LeMat-Bulk: a geometry-optimized CsCdGa2Cl8 structure (PBE-GGA).

Calculated values
uncorrected energy = -37.10 eV for the cell shown
formation energy (no corrections) = -1.209 eV per atom
crystal system = trigonal

Cell lengths 10.658, 10.658, 10.658 Å; angles 37.09, 37.09, 37.09 degrees
Positions (direct):
Cs: 0.000 0.000 0.000
Cd: 0.500 0.500 0.500
Ga: 0.251 0.251 0.251
Ga: 0.749 0.749 0.749
Cl: 0.068 0.451 0.798
Cl: 0.202 0.932 0.549
Cl: 0.325 0.325 0.325
Cl: 0.451 0.798 0.068
Cl: 0.549 0.202 0.932
Cl: 0.675 0.675 0.675
Cl: 0.798 0.068 0.451
Cl: 0.932 0.549 0.202

Entry from Alexandria via LeMat-Bulk: a geometry-optimized Cs2CdGeCl6 structure (PBE-GGA).

Calculated values
uncorrected energy = -32.31 eV for the cell shown
formation energy (no corrections) = -1.399 eV per atom
crystal system = cubic

Cell lengths 7.550, 7.550, 7.550 Å; angles 60.00, 60.00, 60.00 degrees
Positions (direct):
Cs: 0.250 0.250 0.250
Cs: 0.750 0.750 0.750
Cd: 0.000 0.000 0.000
Ge: 0.500 0.500 0.500
Cl: 0.250 0.250 0.750
Cl: 0.250 0.750 0.250
Cl: 0.250 0.750 0.750
Cl: 0.750 0.250 0.250
Cl: 0.750 0.250 0.750
Cl: 0.750 0.750 0.250